one) The following is a DFT calculation (PBE) of an optimized crystal structure of FePd2Cl.

Summary:
The volume is 136 Å³ per cell.

a = 5.684 Å, b = 5.684 Å, c = 5.684 Å
α = 103.28°, β = 103.28°, γ = 122.73°
Fractional positions:
Fe  0.000  0.000  0.000
Fe  0.750  0.250  0.500
Pd  0.113  0.625  0.988
Pd  0.375  0.363  0.488
Pd  0.637  0.125  0.012
Pd  0.875  0.887  0.512
Cl  0.250  0.750  0.500
Cl  0.500  0.500  0.000

=====

two) The following is a DFT calculation (PBE) of an optimized crystal structure of FePd2Cl.

Summary:
The volume is 63 Å³ per cell.

a = 4.475 Å, b = 4.475 Å, c = 4.475 Å
α = 60.00°, β = 60.00°, γ = 60.00°
Fractional positions:
Fe  0.000  0.000  0.000
Pd  0.250  0.250  0.250
Pd  0.750  0.750  0.750
Cl  0.500  0.500  0.500

=====

The winner here is one), beating the second structure by 15 meV/atom.

=====

one) The following is a DFT calculation (PBE) of an optimized crystal structure of Fe3PdCl.

Summary:
The volume is 71 Å³ per cell.

a = 4.140 Å, b = 4.140 Å, c = 4.140 Å
α = 90.00°, β = 90.00°, γ = 90.00°
Fractional positions:
Fe  0.000  0.000  0.500
Fe  0.000  0.500  0.000
Fe  0.500  0.000  0.000
Pd  0.500  0.500  0.500
Cl  0.000  0.000  0.000

=====

two) The following is a DFT calculation (PBE) of an optimized crystal structure of Fe3PdCl.

Summary:
The volume is 107 Å³ per cell.

a = 4.746 Å, b = 4.746 Å, c = 4.746 Å
α = 90.00°, β = 90.00°, γ = 90.00°
Fractional positions:
Fe  0.000  0.000  0.500
Fe  0.000  0.500  0.000
Fe  0.500  0.000  0.000
Pd  0.000  0.000  0.000
Cl  0.500  0.500  0.500

=====

The winner here is one), beating the second structure by 461 meV/atom.